No. 1
Crystalline LiCaI2N at its relaxed geometry, computed with GGA-PBEsol.

a b c (Å): 5.463 5.463 4.013
angles (deg): 90.00 90.00 90.00
Space group P4/mmm (No. 123)
Inequivalent atoms, fractional coordinates:
1 Li 0.000 0.000 0.000 (multiplicity 1)
2 Ca 0.500 0.500 0.500 (multiplicity 1)
3 I 0.000 0.500 0.000 (multiplicity 2)
4 N 0.000 0.000 0.500 (multiplicity 1)

energy relative to the elements, uncorrected	-19.7	kJ/mol of atoms
Fermi-level density of states	0.246	states/eV per atom



No. 2
Crystalline Al5Ag7 at its relaxed geometry, computed with GGA-PBEsol.

a b c (Å): 4.880 6.304 6.379
angles (deg): 83.44 82.91 83.17
Space group P1 (No. 1)
Inequivalent atoms, fractional coordinates:
1 Al 0.000 0.000 0.000 (multiplicity 1)
2 Al 0.002 0.348 0.671 (multiplicity 1)
3 Al 0.259 0.935 0.574 (multiplicity 1)
4 Al 0.262 0.268 0.233 (multiplicity 1)
5 Al 0.510 0.516 0.489 (multiplicity 1)
6 Ag 0.019 0.664 0.335 (multiplicity 1)
7 Ag 0.249 0.608 0.902 (multiplicity 1)
8 Ag 0.488 0.184 0.821 (multiplicity 1)
9 Ag 0.509 0.857 0.170 (multiplicity 1)
10 Ag 0.752 0.765 0.736 (multiplicity 1)
11 Ag 0.755 0.421 0.074 (multiplicity 1)
12 Ag 0.774 0.109 0.413 (multiplicity 1)

E_form	-0.077	eV per atom
Fermi-level density of states	0.245	states/eV per atom
offset from the most stable computed form	4	meV/atom



No. 3
Crystalline ZrBRh2Se at its relaxed geometry, computed with GGA-PBEsol.

a b c (Å): 4.411 4.411 4.951
angles (deg): 90.00 90.00 90.00
Space group P4/mmm (No. 123)
Inequivalent atoms, fractional coordinates:
1 Zr 0.000 0.000 0.000 (multiplicity 1)
2 B 0.500 0.500 0.000 (multiplicity 1)
3 Rh 0.000 0.500 0.500 (multiplicity 2)
4 Se 0.000 0.000 0.500 (multiplicity 1)

energy relative to the elements, uncorrected	99.9	kJ/mol of atoms
Fermi-level density of states	1.088	states/eV per atom



No. 4
Crystalline KAu at its relaxed geometry, computed with GGA-PBEsol.

a b c (Å): 6.565 6.565 6.565
angles (deg): 90.00 90.00 90.00
Space group Fm-3m (No. 225)
Inequivalent atoms, fractional coordinates:
1 K 0.000 0.000 0.000 (multiplicity 4)
2 Au 0.000 0.000 0.500 (multiplicity 4)

E_form	-0.028	eV per atom
Fermi-level density of states	0.000	states/eV per atom



No. 5
Crystalline YHfOsS2 at its relaxed geometry, computed with GGA-PBEsol.

a b c (Å): 4.834 4.834 5.848
angles (deg): 90.00 90.00 90.00
Space group P4/mmm (No. 123)
Inequivalent atoms, fractional coordinates:
1 Y 0.000 0.000 0.000 (multiplicity 1)
2 Hf 0.000 0.000 0.500 (multiplicity 1)
3 Os 0.500 0.500 0.500 (multiplicity 1)
4 S 0.000 0.500 0.000 (multiplicity 2)

energy relative to the elements, uncorrected	139.5	kJ/mol of atoms
Fermi-level density of states	0.894	states/eV per atom



No. 6
Crystalline MgInPb2 at its relaxed geometry, computed with GGA-PBEsol.

a b c (Å): 11.299 3.434 5.694
angles (deg): 90.00 104.97 90.00
Space group Cm (No. 8)
Inequivalent atoms, fractional coordinates:
1 Mg 0.000 0.000 0.000 (multiplicity 2)
2 In 0.232 0.500 0.272 (multiplicity 2)
3 Pb 0.251 0.000 0.789 (multiplicity 2)
4 Pb 0.487 0.000 0.491 (multiplicity 2)

E_form	-0.031	eV per atom
Fermi-level density of states	0.414	states/eV per atom



No. 7
Crystalline NbC2Br at its relaxed geometry, computed with GGA-PBEsol.

a b c (Å): 5.743 5.743 5.743
angles (deg): 90.00 90.00 90.00
Space group Fm-3m (No. 225)
Inequivalent atoms, fractional coordinates:
1 Nb 0.000 0.000 0.000 (multiplicity 4)
2 C 0.250 0.250 0.250 (multiplicity 8)
3 Br 0.000 0.000 0.500 (multiplicity 4)

energy relative to the elements, uncorrected	211.6	kJ/mol of atoms
Fermi-level density of states	0.810	states/eV per atom



No. 8
Crystalline LiCa3Ni at its relaxed geometry, computed with GGA-PBEsol.

a b c (Å): 5.402 5.402 5.402
angles (deg): 90.00 90.00 90.00
Space group Pm-3m (No. 221)
Inequivalent atoms, fractional coordinates:
1 Li 0.000 0.000 0.000 (multiplicity 1)
2 Ca 0.000 0.500 0.500 (multiplicity 3)
3 Ni 0.500 0.500 0.500 (multiplicity 1)

E_form	0.004	eV per atom
Fermi-level density of states	0.466	states/eV per atom



The lowest Fermi-level density of states belongs to which entry? KAu